Computed, not measured: a relaxed KLa2Cu crystal at the PBE level of DFT.

abc: 4.942 4.942 5.327
angles: 90.00 90.00 89.99
Atoms (fractional coordinates):
Cu1 0.500 0.000 0.500
K1 0.000 0.500 0.500
La1 0.000 0.000 0.000
La2 0.500 0.500 0.000

## Properties
- V (Å³/atom) = 32.5
- energy relative to the elements (meV per atom) = 499
- symmetry = P4/mmm
- energy above the most stable polymorph in this dataset (kcal/mol of atoms) = 9.218
- magnetization (μB/cell) = 0.00

---

Computed, not measured: a relaxed KLaCu crystal at the PBE level of DFT.

abc: 4.107 6.017 8.976
angles: 78.77 89.69 89.98
Atoms (fractional coordinates):
K1 0.132 0.783 0.937
K2 0.630 0.242 0.115
Cu1 0.123 0.445 0.361
Cu2 0.624 0.680 0.305
La1 0.123 0.909 0.472
La2 0.622 0.368 0.605

## Properties
- V (Å³/atom) = 36.3
- energy relative to the elements (meV per atom) = 179
- symmetry = P1
- energy above the most stable polymorph in this dataset (kcal/mol of atoms) = 0.017
- magnetization (μB/cell) = 0.00

---

Computed, not measured: a relaxed KLa2Cu crystal at the PBE level of DFT.

abc: 6.421 6.421 6.421
angles: 135.22 135.22 65.18
Atoms (fractional coordinates):
Cu1 0.250 0.750 0.500
K1 0.750 0.250 0.500
La1 0.000 0.000 0.000
La2 0.500 0.500 0.000

## Properties
- V (Å³/atom) = 32.4
- energy relative to the elements (meV per atom) = 506
- symmetry = I4/mmm
- energy above the most stable polymorph in this dataset (kcal/mol of atoms) = 9.398
- magnetization (μB/cell) = 0.00

---

Computed, not measured: a relaxed KLaCu crystal at the PBE level of DFT.

abc: 6.162 4.108 17.401
angles: 90.00 101.05 90.00
Atoms (fractional coordinates):
K1 0.223 0.000 0.473
K2 0.223 0.500 0.973
K3 0.758 0.000 0.053
K4 0.758 0.500 0.553
Cu1 0.548 0.000 0.678
Cu2 0.548 0.500 0.178
Cu3 0.315 0.000 0.152
Cu4 0.315 0.500 0.652
La1 0.096 0.000 0.741
La2 0.096 0.500 0.241
La3 0.636 0.000 0.300
La4 0.636 0.500 0.800

## Properties
- V (Å³/atom) = 36.0
- energy relative to the elements (meV per atom) = 178
- symmetry = Cm
- energy above the most stable polymorph in this dataset (kcal/mol of atoms) = 0.000
- magnetization (μB/cell) = 0.46

---

Computed, not measured: a relaxed KLa4Cu2 crystal at the PBE level of DFT.

abc: 5.789 5.789 8.220
angles: 69.38 69.38 90.00
Atoms (fractional coordinates):
K1 0.000 0.000 0.000
Cu1 0.584 0.584 0.831
Cu2 0.416 0.416 0.169
La1 0.776 0.776 0.448
La2 0.224 0.224 0.552
La3 0.000 0.500 0.000
La4 0.500 0.000 0.000

## Properties
- V (Å³/atom) = 34.1
- energy relative to the elements (meV per atom) = 709
- symmetry = I4/mmm
- magnetization (μB/cell) = 0.00

---

Computed, not measured: a relaxed KLa4Cu crystal at the PBE level of DFT.

abc: 6.763 6.763 6.763
angles: 60.00 60.00 60.00
Atoms (fractional coordinates):
K1 0.000 0.000 0.000
La1 0.859 0.380 0.380
La2 0.380 0.380 0.859
La3 0.380 0.859 0.380
La4 0.380 0.380 0.380
Cu1 0.750 0.750 0.750

## Properties
- V (Å³/atom) = 36.5
- energy relative to the elements (meV per atom) = 634
- symmetry = F-43m
- magnetization (μB/cell) = 0.00

---

Computed, not measured: a relaxed KLaCu crystal at the PBE level of DFT.

abc: 3.968 4.215 7.127
angles: 90.00 105.97 90.00
Atoms (fractional coordinates):
K1 0.895 0.000 0.521
Cu1 0.166 0.000 0.073
La1 0.633 0.500 0.007

## Properties
- V (Å³/atom) = 38.2
- energy relative to the elements (meV per atom) = 233
- symmetry = Pm
- energy above the most stable polymorph in this dataset (kcal/mol of atoms) = 1.271
- magnetization (μB/cell) = 0.00

---

Computed, not measured: a relaxed KLaCu crystal at the PBE level of DFT.

abc: 4.123 4.130 6.893
angles: 90.00 89.82 90.00
Atoms (fractional coordinates):
K1 0.000 0.500 0.500
La1 0.500 0.000 0.000
Cu1 0.000 0.500 0.000

## Properties
- V (Å³/atom) = 39.1
- energy relative to the elements (meV per atom) = 213
- symmetry = P2/m
- energy above the most stable polymorph in this dataset (kcal/mol of atoms) = 0.810
- magnetization (μB/cell) = 0.00

---

Computed, not measured: a relaxed KLa2Cu crystal at the PBE level of DFT.

abc: 5.535 5.535 5.535
angles: 60.00 60.00 60.00
Atoms (fractional coordinates):
K1 0.000 0.000 0.000
Cu1 0.500 0.500 0.500
La1 0.250 0.250 0.250
La2 0.750 0.750 0.750

## Properties
- V (Å³/atom) = 30.0
- energy relative to the elements (meV per atom) = 484
- symmetry = Fm-3m
- energy above the most stable polymorph in this dataset (kcal/mol of atoms) = 8.886
- magnetization (μB/cell) = 0.00

---

Computed, not measured: a relaxed KLaCu crystal at the PBE level of DFT.

abc: 3.988 6.981 8.538
angles: 90.02 90.06 90.00
Atoms (fractional coordinates):
K1 0.111 0.096 0.855
K2 0.611 0.596 0.114
Cu1 0.112 0.777 0.409
Cu2 0.112 0.415 0.409
La1 0.612 0.096 0.399
La2 0.612 0.596 0.610

## Properties
- V (Å³/atom) = 39.6
- energy relative to the elements (meV per atom) = 195
- symmetry = Pm
- energy above the most stable polymorph in this dataset (kcal/mol of atoms) = 0.391
- magnetization (μB/cell) = 0.00

---

Computed, not measured: a relaxed KLa2Cu crystal at the PBE level of DFT.

abc: 8.897 8.897 7.218
angles: 51.95 51.95 90.00
Atoms (fractional coordinates):
K1 0.500 0.500 0.000
K2 0.250 0.750 0.500
Cu1 0.000 0.000 0.000
Cu2 0.750 0.250 0.500
La1 0.693 0.125 0.250
La2 0.057 0.625 0.250
La3 0.375 0.307 0.750
La4 0.875 0.943 0.750

## Properties
- V (Å³/atom) = 35.0
- energy relative to the elements (meV per atom) = 384
- symmetry = I-42d
- energy above the most stable polymorph in this dataset (kcal/mol of atoms) = 6.584
- magnetization (μB/cell) = 0.00

---

Computed, not measured: a relaxed KLa2Cu crystal at the PBE level of DFT.

abc: 3.739 3.739 10.699
angles: 90.00 90.00 90.05
Atoms (fractional coordinates):
Cu1 0.500 0.500 0.250
K1 0.500 0.500 0.750
La1 0.000 0.000 0.099
La2 0.000 0.000 0.401

## Properties
- V (Å³/atom) = 37.4
- energy relative to the elements (meV per atom) = 99
- symmetry = P4/mmm
- energy above the most stable polymorph in this dataset (kcal/mol of atoms) = 0.000
- magnetization (μB/cell) = 0.00

---

Computed, not measured: a relaxed KLa2Cu crystal at the PBE level of DFT.

abc: 9.245 9.245 4.767
angles: 75.05 75.05 23.11
Atoms (fractional coordinates):
Cu1 0.491 0.491 0.509
K1 0.172 0.172 0.328
La1 0.977 0.977 0.023
La2 0.860 0.860 0.640

## Properties
- V (Å³/atom) = 38.6
- energy relative to the elements (meV per atom) = 263
- symmetry = Imm2
- energy above the most stable polymorph in this dataset (kcal/mol of atoms) = 3.775
- magnetization (μB/cell) = 0.21

---

Computed, not measured: a relaxed KLaCu crystal at the PBE level of DFT.

abc: 3.874 7.143 8.067
angles: 78.85 89.39 89.97
Atoms (fractional coordinates):
K1 0.648 0.849 0.011
K2 0.138 0.350 0.945
Cu1 0.646 0.214 0.645
Cu2 0.645 0.614 0.645
La1 0.148 0.939 0.524
La2 0.150 0.459 0.434

## Properties
- V (Å³/atom) = 36.5
- energy relative to the elements (meV per atom) = 197
- symmetry = P1
- energy above the most stable polymorph in this dataset (kcal/mol of atoms) = 0.449
- magnetization (μB/cell) = 0.00

---

Computed, not measured: a relaxed KLa2CuO5 crystal at the PBE level of DFT.

abc: 5.723 6.912 6.912
angles: 90.00 90.00 90.00
Atoms (fractional coordinates):
K1 0.000 0.500 0.500
K2 0.000 0.000 0.000
La1 0.500 0.681 0.181
La2 0.500 0.181 0.319
La3 0.500 0.819 0.681
La4 0.500 0.319 0.819
Cu1 0.000 0.000 0.500
Cu2 0.000 0.500 0.000
O1 0.500 0.500 0.500
O2 0.500 0.000 0.000
O3 0.238 0.129 0.629
O4 0.238 0.871 0.371
O5 0.238 0.371 0.129
O6 0.238 0.629 0.871
O7 0.762 0.129 0.629
O8 0.762 0.629 0.871
O9 0.762 0.871 0.371
O10 0.762 0.371 0.129

## Properties
- V (Å³/atom) = 15.2
- symmetry = P4/mbm
- ΔE_f (raw) (eV per atom) = -2.34
- magnetization (μB/cell) = 0.00

---

Computed, not measured: a relaxed KLaCuO2 crystal at the PBE level of DFT.

abc: 5.847 7.476 7.311
angles: 116.78 90.00 90.00
Atoms (fractional coordinates):
K1 0.827 0.500 0.750
K2 0.173 0.500 0.250
La1 0.504 0.000 0.250
La2 0.496 0.000 0.750
Cu1 0.000 0.000 0.000
Cu2 0.000 0.000 0.500
O1 0.715 0.886 0.945
O2 0.715 0.114 0.555
O3 0.285 0.886 0.445
O4 0.285 0.114 0.055

## Properties
- V (Å³/atom) = 28.5
- symmetry = P2/c
- ΔE_f (raw) (eV per atom) = -1.71
- magnetization (μB/cell) = 0.00

---

Computed, not measured: a relaxed KLa2CuS4 crystal at the PBE level of DFT.

abc: 4.155 7.394 14.175
angles: 90.00 90.00 106.32
Atoms (fractional coordinates):
K1 0.106 0.212 0.750
K2 0.894 0.788 0.250
La1 0.366 0.731 0.562
La2 0.634 0.269 0.062
La3 0.634 0.269 0.438
La4 0.366 0.731 0.938
Cu1 0.836 0.671 0.750
Cu2 0.164 0.329 0.250
S1 0.261 0.523 0.116
S2 0.739 0.477 0.616
S3 0.739 0.477 0.884
S4 0.261 0.523 0.384
S5 0.000 0.000 0.500
S6 0.000 0.000 0.000
S7 0.427 0.853 0.750
S8 0.573 0.147 0.250

## Properties
- V (Å³/atom) = 26.1
- symmetry = Cmcm
- ΔE_f (raw) (eV per atom) = -1.71
- magnetization (μB/cell) = 0.00

---

Computed, not measured: a relaxed KLa2ScCu crystal at the PBE level of DFT.

abc: 5.956 5.010 5.956
angles: 90.00 90.00 90.00
Atoms (fractional coordinates):
Sc1 0.000 0.000 0.000
K1 0.500 0.500 0.500
Cu1 0.000 0.500 0.000
La1 0.000 0.000 0.500
La2 0.500 0.000 0.000

## Properties
- V (Å³/atom) = 35.5
- energy relative to the elements (meV per atom) = 634
- symmetry = P4/mmm
- magnetization (μB/cell) = 0.22

---

Computed, not measured: a relaxed KLa2CuSn crystal at the PBE level of DFT.

abc: 6.103 6.404 6.103
angles: 90.00 90.00 90.00
Atoms (fractional coordinates):
K1 0.000 0.500 0.000
Sn1 0.000 0.000 0.000
Cu1 0.500 0.500 0.500
La1 0.000 0.000 0.500
La2 0.500 0.000 0.000

## Properties
- V (Å³/atom) = 47.7
- energy relative to the elements (meV per atom) = 492
- symmetry = P4/mmm
- magnetization (μB/cell) = 0.00

---

Computed, not measured: a relaxed KSr2LaCu crystal at the PBE level of DFT.

abc: 6.315 6.315 5.658
angles: 90.00 90.00 90.00
Atoms (fractional coordinates):
Sr1 0.000 0.500 0.000
Sr2 0.500 0.000 0.000
K1 0.500 0.500 0.500
Cu1 0.000 0.000 0.000
La1 0.000 0.000 0.500

## Properties
- V (Å³/atom) = 45.1
- energy relative to the elements (meV per atom) = 126
- symmetry = P4/mmm
- magnetization (μB/cell) = 0.00